{
  "formula": "CdNi17",
  "functional": "PBE",
  "state": "relaxed",
  "magmom_total_mub_per_cell": 19.894,
  "relative_energy_mev_per_atom": 0.0,
  "rho_g_cm3": 5.59,
  "lattice": [[4.276, 0.000, 0.000], [0.000, 4.949, 0.000], [-0.050, 0.000, 31.161]],
  "species": ["Cd", "Cd", "Ni", "Ni", "Ni", "Ni", "Ni", "Ni", "Ni", "Ni", "Ni", "Ni", "Ni", "Ni", "Ni", "Ni", "Ni", "Ni", "Ni", "Ni", "Ni", "Ni", "Ni", "Ni", "Ni", "Ni", "Ni", "Ni", "Ni", "Ni", "Ni", "Ni", "Ni", "Ni", "Ni", "Ni"],
  "frac_coords": [[0.000, 0.000, 0.000], [0.333, 0.500, 0.575], [0.000, 0.500, 0.223], [0.001, 0.000, 0.222], [0.002, 0.000, 0.417], [0.166, 0.247, 0.093], [0.166, 0.753, 0.093], [0.167, 0.250, 0.288], [0.167, 0.750, 0.288], [0.169, 0.253, 0.483], [0.169, 0.747, 0.483], [0.333, 0.500, 0.158], [0.333, 0.500, 0.352], [0.334, 0.000, 0.158], [0.334, 0.000, 0.352], [0.337, 0.000, 0.546], [0.500, 0.250, 0.223], [0.500, 0.251, 0.417], [0.500, 0.256, 0.029], [0.500, 0.744, 0.029], [0.500, 0.749, 0.417], [0.500, 0.750, 0.223], [0.662, 0.500, 0.484], [0.666, 0.500, 0.093], [0.667, 0.000, 0.287], [0.667, 0.500, 0.288], [0.668, 0.000, 0.482], [0.671, 0.000, 0.092], [0.833, 0.245, 0.546], [0.833, 0.755, 0.546], [0.834, 0.249, 0.158], [0.834, 0.250, 0.352], [0.834, 0.750, 0.352], [0.834, 0.751, 0.158], [0.998, 0.500, 0.029], [0.999, 0.500, 0.417]]
}